This record from Alexandria via LeMat-Bulk describes an optimized crystal structure of TbCeSm. The functional is PBE-GGA.

abc: 16.0482 16.0482 16.0482
angles: 23.45 23.45 23.45
Fractional coordinates of all 18 atoms:
Tb  0.0431  0.0431  0.0431
Tb  0.1814  0.1814  0.1814
Tb  0.2619  0.2619  0.2619
Tb  0.7381  0.7381  0.7381
Tb  0.8186  0.8186  0.8186
Tb  0.9569  0.9569  0.9569
Ce  0.1707  0.7465  0.7465
Ce  0.2535  0.2535  0.8293
Ce  0.2535  0.8293  0.2535
Ce  0.7465  0.1707  0.7465
Ce  0.7465  0.7465  0.1707
Ce  0.8293  0.2535  0.2535
Sm  0.0000  0.5000  0.5000
Sm  0.3936  0.3936  0.3936
Sm  0.5000  0.0000  0.5000
Sm  0.5000  0.5000  0.0000
Sm  0.5000  0.5000  0.5000
Sm  0.6064  0.6064  0.6064

As for the crystal system: trigonal. The calculation puts the formation energy at 0.19 eV per atom. The energy above the lowest structure with this stoichiometry is 0.122 eV/atom. Its density of states at the Fermi level is 2.53 states/eV/atom.